A plane-wave DFT calculation with PBE with a Hubbard U was carried out for an optimized crystal structure of Mg3NiO.

abc: 4.6090 4.6090 4.6090
angles: 90.00 90.00 90.00
Fractional positions:
Mg1 0.0000 0.0000 0.5000
Mg2 0.0000 0.5000 0.0000
Mg3 0.5000 0.0000 0.0000
Ni1 0.0000 0.0000 0.0000
O1 0.5000 0.5000 0.5000

Values from the calculation:
Energy (eV/f.u.): -9.96
Mass density (g/cm³): 2.5
Crystal system: cubic